1.
This record from Alexandria via LeMat-Bulk describes PmIn5Te4 after structural relaxation. The functional is PBE.

## Properties
total magnetization = 0.0 μB per cell
formation energy from raw total energies = -4.85 eV/f.u.
energy relative to the lowest polymorph listed for this composition = 0 meV per atom
VASP energy = -3.586 eV per atom

Cell: 9.481 9.481 9.189 Å, 113.01 113.01 27.33°
Atoms (fractional coordinates):
Pm 0.000 0.000 0.000
In 0.000 0.000 0.500
In 0.281 0.281 0.914
In 0.366 0.366 0.525
In 0.634 0.634 0.475
In 0.719 0.719 0.086
Te 0.175 0.175 0.279
Te 0.447 0.447 0.181
Te 0.553 0.553 0.819
Te 0.825 0.825 0.721

2.
This record from Alexandria via LeMat-Bulk describes LiZnRe3 after structural relaxation. The functional is PBE.

## Properties
DFT formation energy = 1.493 eV/atom
total magnetization = 0.0 μB per cell
energy relative to the lowest polymorph listed for this composition = 0 meV per atom
VASP energy = -6.614 eV per atom

Cell: 4.149 4.149 4.149 Å, 90.00 90.00 90.00°
Atoms (fractional coordinates):
Li 0.000 0.000 0.000
Zn 0.500 0.500 0.500
Re 0.000 0.000 0.500
Re 0.000 0.500 0.000
Re 0.500 0.000 0.000

3.
This record from Alexandria via LeMat-Bulk describes Ta6FeRe after structural relaxation. The functional is PBE.

## Properties
DFT formation energy = -0.153 eV/atom
total magnetization = 0.5 μB per cell
VASP energy = -11.656 eV per atom

Cell: 7.306 7.306 4.536 Å, 108.02 108.02 36.17°
Atoms (fractional coordinates):
Ta 0.118 0.118 0.118
Ta 0.250 0.250 0.750
Ta 0.382 0.382 0.381
Ta 0.618 0.618 0.619
Ta 0.750 0.750 0.250
Ta 0.882 0.882 0.882
Fe 0.500 0.500 0.000
Re 0.000 0.000 0.500

4.
This record from Alexandria via LeMat-Bulk describes NpNbPd after structural relaxation. The functional is PBE.

## Properties
DFT formation energy = -0.089 eV/atom
total magnetization = 0.0 μB per cell
energy relative to the lowest polymorph listed for this composition = 0 meV per atom
VASP energy = -9.490 eV per atom

Cell: 3.293 3.293 9.697 Å, 90.00 90.00 90.00°
Atoms (fractional coordinates):
Np 0.250 0.250 0.059
Np 0.750 0.750 0.941
Nb 0.250 0.250 0.731
Nb 0.750 0.750 0.269
Pd 0.250 0.250 0.415
Pd 0.750 0.750 0.585